Computed, not measured: crystalline YTcIr at its relaxed geometry at the PBE level of DFT.

```
data_YTcIr
_cell_length_a 4.1998
_cell_length_b 4.1998
_cell_length_c 4.2232
_cell_angle_alpha 90.00
_cell_angle_beta 90.00
_cell_angle_gamma 120.00
_space_group_name_H-M_alt 'P -6 m 2'
_space_group_IT_number 187
_space_group_name_Hall 'P -6 2'
loop_
_atom_site_label
_atom_site_type_symbol
_atom_site_fract_x
_atom_site_fract_y
_atom_site_fract_z
Y1 Y 0.0000 0.0000 0.0000
Tc1 Tc 0.6667 0.3333 0.5000
Ir1 Ir 0.3333 0.6667 0.5000
```

Properties
The calculated volume is 21.50 Å³/atom. Its crystal system is hexagonal. The value obtained for the calculated formation energy is -0.205 eV/atom. For the density of states at the Fermi level, the calculation gives 0.901 states/eV per atom. For the relative energy among the computed polymorphs, the calculation gives 0.000 eV/atom.

=====

Computed, not measured: crystalline Hf3HOs at its relaxed geometry at the PBE level of DFT.

```
data_Hf3HOs
_cell_length_a 10.641
_cell_length_b 13.917
_cell_length_c 4.628
_cell_angle_alpha 90.00
_cell_angle_beta 90.00
_cell_angle_gamma 90.00
_space_group_name_H-M_alt 'C m c e'
_space_group_IT_number 64
_space_group_name_Hall '-C 2ac 2'
loop_
_atom_site_label
_atom_site_type_symbol
_atom_site_fract_x
_atom_site_fract_y
_atom_site_fract_z
Hf1 Hf 0.141 0.000 0.000
Hf2 Hf 0.149 0.167 0.493
H1 H 0.250 0.078 0.750
Os1 Os 0.000 0.169 0.997
```

Properties
The calculated volume is 17.13 Å³/atom. Its crystal system is orthorhombic. For the density of states at the Fermi level, the calculation gives 0.720 states/eV per atom. For the relative energy among the computed polymorphs, the calculation gives 0.000 eV/atom.

=====

Computed, not measured: crystalline CaTlCd2Rh at its relaxed geometry at the PBE level of DFT.

```
data_CaTlCd2Rh
_cell_length_a 5.195
_cell_length_b 5.195
_cell_length_c 5.191
_cell_angle_alpha 90.00
_cell_angle_beta 90.00
_cell_angle_gamma 90.00
_space_group_name_H-M_alt 'P 4/m m m'
_space_group_IT_number 123
_space_group_name_Hall '-P 4 2'
loop_
_atom_site_label
_atom_site_type_symbol
_atom_site_fract_x
_atom_site_fract_y
_atom_site_fract_z
Ca1 Ca 0.000 0.000 0.000
Tl1 Tl 0.500 0.500 0.000
Cd1 Cd 0.000 0.500 0.500
Rh1 Rh 0.500 0.500 0.500
```

Properties
The calculated volume is 28.01 Å³/atom. Its crystal system is tetragonal. The value obtained for the calculated formation energy is -0.086 eV/atom. For the density of states at the Fermi level, the calculation gives 0.605 states/eV per atom. For the relative energy among the computed polymorphs, the calculation gives 0.000 eV/atom.

=====

Computed, not measured: crystalline HfNbZn at its relaxed geometry at the PBE level of DFT.

```
data_HfNbZn
_cell_length_a 3.076
_cell_length_b 4.997
_cell_length_c 7.625
_cell_angle_alpha 74.59
_cell_angle_beta 78.49
_cell_angle_gamma 89.89
_space_group_name_H-M_alt 'P 1'
_space_group_IT_number 1
_space_group_name_Hall 'P 1'
loop_
_atom_site_label
_atom_site_type_symbol
_atom_site_fract_x
_atom_site_fract_y
_atom_site_fract_z
Hf1 Hf 0.000 0.000 0.000
Hf2 Hf 0.158 0.560 0.690
Nb1 Nb 0.683 0.068 0.634
Nb2 Nb 0.834 0.530 0.338
Zn1 Zn 0.337 0.024 0.328
Zn2 Zn 0.486 0.492 0.030
```

Properties
The calculated volume is 18.43 Å³/atom. Its crystal system is triclinic. The value obtained for the calculated formation energy is -0.017 eV/atom. For the density of states at the Fermi level, the calculation gives 0.935 states/eV per atom. For the relative energy among the computed polymorphs, the calculation gives 0.056 eV/atom.

=====

Number 1 is which compound? YTcIr

=====

What did the second record say?
Computed, not measured: crystalline Hf3HOs at its relaxed geometry at the PBE level of DFT.

```
data_Hf3HOs
_cell_length_a 10.641
_cell_length_b 13.917
_cell_length_c 4.628
_cell_angle_alpha 90.00
_cell_angle_beta 90.00
_cell_angle_gamma 90.00
_space_group_name_H-M_alt 'C m c e'
_space_group_IT_number 64
_space_group_name_Hall '-C 2ac 2'
loop_
_atom_site_label
_atom_site_type_symbol
_atom_site_fract_x
_atom_site_fract_y
_atom_site_fract_z
Hf1 Hf 0.141 0.000 0.000
Hf2 Hf 0.149 0.167 0.493
H1 H 0.250 0.078 0.750
Os1 Os 0.000 0.169 0.997
```

Properties
The calculated volume is 17.13 Å³/atom. Its crystal system is orthorhombic. For the density of states at the Fermi level, the calculation gives 0.720 states/eV per atom. For the relative energy among the computed polymorphs, the calculation gives 0.000 eV/atom.

=====

Number 4 is which compound? HfNbZn